# YLu2Ga | Alexandria | GGA-PBE | relaxed
data_YLu2Ga
_chemical_formula_sum 'Y1 Lu2 Ga1'
_cell_length_a 4.655
_cell_length_b 4.655
_cell_length_c 4.688
_cell_angle_alpha 90.00
_cell_angle_beta 90.00
_cell_angle_gamma 90.00
_symmetry_space_group_name_H-M 'P 4/m m m'
_symmetry_Int_Tables_number 123
_symmetry_space_group_name_Hall '-P 4 2'
loop_
_atom_site_label
_atom_site_fract_x
_atom_site_fract_y
_atom_site_fract_z
Y1 0.000 0.000 0.000
Lu1 0.000 0.500 0.500
Ga1 0.500 0.500 0.000
# Energy above the most stable polymorph in this dataset   59 meV per atom
# Total energy   -19.47 eV/f.u.
# Fermi-level density of states   4.7 states/eV per cell
# Calculated formation energy   -0.2347 eV/atom

# Y2LuGa | Alexandria | GGA-PBE | relaxed
data_Y2LuGa
_chemical_formula_sum 'Y6 Lu3 Ga3'
_cell_length_a 3.4830
_cell_length_b 3.4830
_cell_length_c 34.7299
_cell_angle_alpha 90.00
_cell_angle_beta 90.00
_cell_angle_gamma 120.00
_symmetry_space_group_name_H-M 'R -3 m'
_symmetry_Int_Tables_number 166
_symmetry_space_group_name_Hall '-R 3 2"'
loop_
_atom_site_label
_atom_site_fract_x
_atom_site_fract_y
_atom_site_fract_z
Y1 0.0000 0.0000 0.0861
Lu1 0.0000 0.0000 0.5000
Ga1 0.0000 0.0000 0.0000
# Energy above the most stable polymorph in this dataset   419 meV per atom
# Total energy   -19.91 eV/f.u.
# Fermi-level density of states   13.3 states/eV per cell
# Calculated formation energy   0.1415 eV/atom

- Which of these has the lowest calculated formation energy?
  YLu2Ga

- Which of these has the lowest Fermi-level density of states?
  YLu2Ga